SmTlW2O8 after structural relaxation. Source: Alexandria, functional PBE with a Hubbard U.

D(E_F) in states/eV/f.u.: 0.0
Offset from the most stable computed form in meV per atom: 106
E in eV/atom: -7.240

Cell: 8.820 8.820 8.820 Å, 38.24 38.24 38.24°
Element x y z (fractional)
Sm (0.000, 0.000, 0.000)
Tl (0.500, 0.500, 0.500)
W (0.254, 0.254, 0.254)
W (0.746, 0.746, 0.746)
O (0.004, 0.755, 0.407)
O (0.181, 0.181, 0.181)
O (0.245, 0.593, 0.996)
O (0.407, 0.004, 0.755)
O (0.593, 0.996, 0.245)
O (0.755, 0.407, 0.004)
O (0.819, 0.819, 0.819)
O (0.996, 0.245, 0.593)